1.
Material: FeSnNF2
Method: DFT, SCAN
State: PBEsol geometry

Cell: 3.9978 4.2162 4.2162 Å, 90.00 90.00 90.00°
Atoms (fractional coordinates):
Fe: 0.5000 0.5000 0.5000
Sn: 0.0000 0.0000 0.0000
F: 0.0000 0.0000 0.5000
F: 0.0000 0.5000 0.0000
N: 0.5000 0.0000 0.0000

## Properties
Magnetic moment in μB/cell: 3.3
Symmetry: No. 123
Calculated total energy in eV per cell: -72.55
ΔE_f (raw) in kJ/mol of formula units: -205

2.
Material: LaTlRe
Method: DFT, SCAN
State: PBEsol geometry

Cell: 4.9082 4.9082 4.9082 Å, 60.00 60.00 60.00°
Atoms (fractional coordinates):
Tl: 0.5000 0.5000 0.5000
La: 0.2500 0.2500 0.2500
Re: 0.0000 0.0000 0.0000

## Properties
Energy of formation from the pure elements in eV/atom: 1.4036
Magnetic moment in μB/cell: 1.1
Symmetry: No. 216
Calculated total energy in eV per cell: -182.35

Number 1: energy above the lowest structure with this stoichiometry 2.48 eV/f.u.. Number 2: energy above the lowest structure with this stoichiometry 1.42 eV/f.u..